1.
DFT (PBEsol) results for a relaxed structure of KRuC3.

a = 3.926 Å, b = 3.926 Å, c = 3.926 Å
α = 90.00°, β = 90.00°, γ = 90.00°
Element x y z (fractional)
Ru  0.500  0.500  0.500
K  0.000  0.000  0.000
C  0.000  0.500  0.000
C  0.000  0.000  0.500
C  0.500  0.000  0.000

Output
**Energy relative to the lowest polymorph listed for this composition**: 2840.0 meV per atom
**M_tot**: 0.0006 μB per atom
**Energy of formation from the pure elements**: 4.586 eV per atom
**Space-group type**: Pm-3m, No. 221

2.
DFT (PBEsol) results for a relaxed structure of KRuC3.

a = 4.010 Å, b = 4.010 Å, c = 4.010 Å
α = 90.00°, β = 90.00°, γ = 90.00°
Element x y z (fractional)
Ru  0.000  0.000  0.000
K  0.500  0.500  0.500
C  0.000  0.500  0.000
C  0.000  0.000  0.500
C  0.500  0.000  0.000

Output
**Energy relative to the lowest polymorph listed for this composition**: 0.0 meV per atom
**M_tot**: 0.0020 μB per atom
**Energy of formation from the pure elements**: 1.746 eV per atom
**Space-group type**: Pm-3m, No. 221

3.
DFT (PBEsol) results for a relaxed structure of K2CS.

a = 5.147 Å, b = 5.147 Å, c = 5.147 Å
α = 60.00°, β = 60.00°, γ = 60.00°
Element x y z (fractional)
C  0.000  0.000  0.000
K  0.250  0.250  0.250
K  0.750  0.750  0.750
S  0.500  0.500  0.500

Output
**Electronic total energy**: -0.1172 Ha/atom
**M_tot**: 0.5000 μB per atom
**Space-group type**: Fm-3m, No. 225

4.
DFT (PBEsol) results for a relaxed structure of KSbCS2.

a = 4.308 Å, b = 5.297 Å, c = 5.297 Å
α = 90.00°, β = 90.00°, γ = 90.00°
Element x y z (fractional)
C  0.500  0.000  0.000
Sb  0.500  0.500  0.500
K  0.000  0.000  0.000
S  0.000  0.000  0.500
S  0.000  0.500  0.000

Output
**Electronic total energy**: -0.1020 Ha/atom
**M_tot**: 0.2935 μB per atom
**Space-group type**: P4/mmm, No. 123

5.
DFT (PBEsol) results for a relaxed structure of K2SbC.

a = 4.423 Å, b = 8.640 Å, c = 8.640 Å
α = 86.24°, β = 75.17°, γ = 75.17°
Element x y z (fractional)
Sb  0.750  0.500  0.500
Sb  0.000  0.000  0.000
K  0.351  0.774  0.274
K  0.399  0.226  0.726
K  0.375  0.274  0.226
K  0.875  0.726  0.774
C  0.250  0.500  0.500
C  0.500  0.000  0.000

Output
**Electronic total energy**: -0.1254 Ha/atom
**M_tot**: 0.0000 μB per atom
**Space-group type**: I-42d, No. 122

6.
DFT (PBEsol) results for a relaxed structure of K2Sc2C.

a = 3.522 Å, b = 3.522 Å, c = 9.540 Å
α = 100.64°, β = 100.64°, γ = 90.00°
Element x y z (fractional)
Sc  0.435  0.435  0.869
Sc  0.565  0.565  0.131
K  0.250  0.750  0.500
K  0.750  0.250  0.500
C  0.000  0.000  0.000

Output
**M_tot**: 0.2331 μB per atom
**Energy of formation from the pure elements**: 1.480 eV per atom
**Space-group type**: I4/mmm, No. 139

7.
DFT (PBEsol) results for a relaxed structure of K2ZrCSe.

a = 3.894 Å, b = 6.172 Å, c = 6.172 Å
α = 90.00°, β = 90.00°, γ = 90.00°
Element x y z (fractional)
C  0.000  0.000  0.000
K  0.000  0.000  0.500
K  0.000  0.500  0.000
Se  0.500  0.000  0.000
Zr  0.500  0.500  0.500

Output
**Electronic total energy**: -0.1332 Ha/atom
**M_tot**: 0.6924 μB per atom
**Space-group type**: P4/mmm, No. 123

8.
DFT (PBEsol) results for a relaxed structure of KSrC2.

a = 4.675 Å, b = 4.675 Å, c = 4.675 Å
α = 60.00°, β = 60.00°, γ = 60.00°
Element x y z (fractional)
Sr  0.500  0.500  0.500
K  0.000  0.000  0.000
C  0.250  0.250  0.250
C  0.750  0.750  0.750

Output
**M_tot**: 0.0000 μB per atom
**Energy of formation from the pure elements**: 1.898 eV per atom
**Space-group type**: Fm-3m, No. 225

9.
DFT (PBEsol) results for a relaxed structure of KTcC3.

a = 4.052 Å, b = 4.052 Å, c = 4.052 Å
α = 90.00°, β = 90.00°, γ = 90.00°
Element x y z (fractional)
C  0.000  0.500  0.000
C  0.000  0.000  0.500
C  0.500  0.000  0.000
K  0.500  0.500  0.500
Tc  0.000  0.000  0.000

Output
**M_tot**: 0.0004 μB per atom
**Energy of formation from the pure elements**: 1.509 eV per atom
**Space-group type**: Pm-3m, No. 221

10.
DFT (PBEsol) results for a relaxed structure of K2TeC.

a = 5.555 Å, b = 5.555 Å, c = 5.555 Å
α = 60.00°, β = 60.00°, γ = 60.00°
Element x y z (fractional)
K  0.250  0.250  0.250
K  0.750  0.750  0.750
Te  0.500  0.500  0.500
C  0.000  0.000  0.000

Output
**Electronic total energy**: -0.1073 Ha/atom
**M_tot**: 0.5000 μB per atom
**Space-group type**: Fm-3m, No. 225

11.
DFT (PBEsol) results for a relaxed structure of K3TeC.

a = 5.534 Å, b = 5.534 Å, c = 5.534 Å
α = 90.00°, β = 90.00°, γ = 90.00°
Element x y z (fractional)
K  0.000  0.500  0.000
K  0.000  0.000  0.500
K  0.500  0.000  0.000
Te  0.500  0.500  0.500
C  0.000  0.000  0.000

Output
**Electronic total energy**: -0.1070 Ha/atom
**M_tot**: 0.5984 μB per atom
**Space-group type**: Pm-3m, No. 221

12.
DFT (PBEsol) results for a relaxed structure of KTl2C.

a = 5.068 Å, b = 5.068 Å, c = 5.068 Å
α = 60.00°, β = 60.00°, γ = 60.00°
Element x y z (fractional)
C  0.000  0.000  0.000
Tl  0.250  0.250  0.250
Tl  0.750  0.750  0.750
K  0.500  0.500  0.500

Output
**M_tot**: 0.0003 μB per atom
**Energy of formation from the pure elements**: 1.318 eV per atom
**Space-group type**: Fm-3m, No. 225

13.
DFT (PBEsol) results for a relaxed structure of LaC.

a = 3.732 Å, b = 4.293 Å, c = 6.934 Å
α = 79.03°, β = 75.54°, γ = 64.32°
Element x y z (fractional)
C  0.560  0.837  0.048
C  0.440  0.163  0.952
La  0.776  0.250  0.214
La  0.224  0.750  0.786

Output
**Energy relative to the lowest polymorph listed for this composition**: 0.0 meV per atom
**M_tot**: 0.0000 μB per atom
**Energy of formation from the pure elements**: -0.156 eV per atom
**Space-group type**: P-1, No. 2

14.
DFT (PBEsol) results for a relaxed structure of LaC2.

a = 3.890 Å, b = 4.269 Å, c = 3.890 Å
α = 62.90°, β = 90.00°, γ = 117.10°
Element x y z (fractional)
C  0.599  0.199  0.401
C  0.401  0.801  0.599
La  0.000  0.000  0.000

Output
**M_tot**: 0.0000 μB per atom
**Energy of formation from the pure elements**: -0.126 eV per atom
**Space-group type**: I4/mmm, No. 139

15.
DFT (PBEsol) results for a relaxed structure of LaC.

a = 3.199 Å, b = 3.677 Å, c = 3.677 Å
α = 120.00°, β = 90.00°, γ = 90.00°
Element x y z (fractional)
C  0.500  0.333  0.667
La  0.000  0.000  0.000

Output
**Energy relative to the lowest polymorph listed for this composition**: 715.1 meV per atom
**M_tot**: 0.2416 μB per atom
**Energy of formation from the pure elements**: 0.559 eV per atom
**Space-group type**: P-6m2, No. 187

16.
DFT (PBEsol) results for a relaxed structure of La3MgC.

a = 5.210 Å, b = 5.210 Å, c = 5.210 Å
α = 90.00°, β = 90.00°, γ = 90.00°
Element x y z (fractional)
Mg  0.500  0.500  0.500
C  0.000  0.000  0.000
La  0.000  0.500  0.000
La  0.000  0.000  0.500
La  0.500  0.000  0.000

Output
**M_tot**: 0.0002 μB per atom
**Energy of formation from the pure elements**: -0.041 eV per atom
**Space-group type**: Pm-3m, No. 221

17.
DFT (PBEsol) results for a relaxed structure of LaMg2MnC.

a = 4.413 Å, b = 5.931 Å, c = 5.931 Å
α = 90.00°, β = 90.00°, γ = 90.00°
Element x y z (fractional)
Mg  0.000  0.000  0.500
Mg  0.000  0.500  0.000
Mn  0.500  0.000  0.000
C  0.500  0.500  0.500
La  0.000  0.000  0.000

Output
**M_tot**: 0.6159 μB per atom
**Energy of formation from the pure elements**: 2.638 eV per atom
**Space-group type**: P4/mmm, No. 123

18.
DFT (PBEsol) results for a relaxed structure of LaMgPbC2.

a = 4.463 Å, b = 4.463 Å, c = 5.841 Å
α = 90.00°, β = 90.00°, γ = 90.00°
Element x y z (fractional)
Pb  0.500  0.500  0.500
Mg  0.000  0.000  0.500
C  0.000  0.500  0.000
C  0.500  0.000  0.000
La  0.000  0.000  0.000

Output
**M_tot**: 0.0005 μB per atom
**Energy of formation from the pure elements**: 1.875 eV per atom
**Space-group type**: P4/mmm, No. 123

19.
DFT (PBEsol) results for a relaxed structure of La21Mn8Sn7C12.

a = 11.531 Å, b = 11.531 Å, c = 11.531 Å
α = 60.00°, β = 60.00°, γ = 60.00°
Element x y z (fractional)
La  0.663  0.337  0.000
La  0.000  0.337  0.000
La  0.000  0.337  0.663
La  0.000  0.000  0.337
La  0.663  0.000  0.337
La  0.000  0.663  0.337
La  0.000  0.000  0.663
La  0.000  0.663  0.000
La  0.663  0.000  0.000
La  0.337  0.663  0.000
La  0.337  0.000  0.663
La  0.337  0.000  0.000
La  0.634  0.099  0.634
La  0.634  0.634  0.099
La  0.634  0.634  0.634
La  0.099  0.634  0.634
La  0.366  0.901  0.366
La  0.366  0.366  0.901
La  0.366  0.366  0.366
La  0.901  0.366  0.366
La  0.500  0.500  0.500
Mn  0.802  0.594  0.802
Mn  0.802  0.802  0.594
Mn  0.802  0.802  0.802
Mn  0.594  0.802  0.802
Mn  0.198  0.406  0.198
Mn  0.198  0.198  0.406
Mn  0.198  0.198  0.198
Mn  0.406  0.198  0.198
Sn  0.290  0.290  0.710
Sn  0.710  0.290  0.710
Sn  0.710  0.290  0.290
Sn  0.710  0.710  0.290
Sn  0.290  0.710  0.290
Sn  0.290  0.710  0.710
Sn  0.000  0.000  0.000
C  0.608  0.608  0.892
C  0.892  0.608  0.892
C  0.892  0.608  0.608
C  0.892  0.892  0.608
C  0.608  0.892  0.608
C  0.608  0.892  0.892
C  0.392  0.392  0.108
C  0.108  0.392  0.108
C  0.108  0.392  0.392
C  0.108  0.108  0.392
C  0.392  0.108  0.392
C  0.392  0.108  0.108

Output
**M_tot**: 0.1326 μB per atom
**Energy of formation from the pure elements**: -0.471 eV per atom
**Space-group type**: Fm-3m, No. 225

20.
DFT (PBEsol) results for a relaxed structure of LaTiMnC2.

a = 4.312 Å, b = 4.312 Å, c = 5.250 Å
α = 90.00°, β = 90.00°, γ = 90.00°
Element x y z (fractional)
C  0.000  0.500  0.000
C  0.500  0.000  0.000
Mn  0.500  0.500  0.500
Ti  0.000  0.000  0.500
La  0.000  0.000  0.000

Output
**M_tot**: 0.4312 μB per atom
**Energy of formation from the pure elements**: 2.626 eV per atom
**Space-group type**: P4/mmm, No. 123

21.
DFT (PBEsol) results for a relaxed structure of LaMoC2.

a = 4.187 Å, b = 4.187 Å, c = 4.187 Å
α = 60.00°, β = 60.00°, γ = 60.00°
Element x y z (fractional)
Mo  0.000  0.000  0.000
C  0.250  0.250  0.250
C  0.750  0.750  0.750
La  0.500  0.500  0.500

Output
**Energy relative to the lowest polymorph listed for this composition**: 825.2 meV per atom
**M_tot**: 0.2176 μB per atom
**Energy of formation from the pure elements**: 1.060 eV per atom
**Space-group type**: Fm-3m, No. 225

22.
DFT (PBEsol) results for a relaxed structure of LaMo3C.

a = 4.312 Å, b = 4.312 Å, c = 4.312 Å
α = 90.00°, β = 90.00°, γ = 90.00°
Element x y z (fractional)
Mo  0.000  0.500  0.000
Mo  0.000  0.000  0.500
Mo  0.500  0.000  0.000
C  0.000  0.000  0.000
La  0.500  0.500  0.500

Output
**M_tot**: 0.0000 μB per atom
**Energy of formation from the pure elements**: 0.430 eV per atom
**Space-group type**: Pm-3m, No. 221

23.
DFT (PBEsol) results for a relaxed structure of LaMoC2.

a = 5.173 Å, b = 5.173 Å, c = 6.275 Å
α = 114.34°, β = 114.34°, γ = 90.00°
Element x y z (fractional)
Mo  0.750  0.250  0.500
Mo  0.500  0.500  0.000
C  0.474  0.875  0.250
C  0.776  0.375  0.250
C  0.125  0.224  0.750
C  0.625  0.526  0.750
La  0.250  0.750  0.500
La  0.000  0.000  0.000

Output
**Energy relative to the lowest polymorph listed for this composition**: 0.0 meV per atom
**M_tot**: 0.0000 μB per atom
**Energy of formation from the pure elements**: 0.235 eV per atom
**Space-group type**: I-42d, No. 122

24.
DFT (PBEsol) results for a relaxed structure of LaC6N9.

a = 7.049 Å, b = 7.049 Å, c = 10.300 Å
α = 90.00°, β = 90.00°, γ = 111.24°
Element x y z (fractional)
La  0.717  0.283  0.250
La  0.283  0.717  0.750
C  0.724  0.560  0.750
C  0.996  0.289  0.950
C  0.004  0.711  0.450
C  0.276  0.440  0.250
C  0.560  0.724  0.250
C  0.440  0.276  0.750
C  0.289  0.996  0.450
C  0.711  0.004  0.950
C  0.996  0.289  0.550
C  0.004  0.711  0.050
C  0.711  0.004  0.550
C  0.289  0.996  0.050
N  0.139  0.415  0.903
N  0.861  0.585  0.403
N  0.527  0.473  0.750
N  0.473  0.527  0.250
N  0.902  0.647  0.750
N  0.098  0.353  0.250
N  0.647  0.902  0.250
N  0.353  0.098  0.750
N  0.159  0.841  0.510
N  0.841  0.159  0.010
N  0.841  0.159  0.490
N  0.159  0.841  0.990
N  0.415  0.139  0.403
N  0.585  0.861  0.903
N  0.139  0.415  0.597
N  0.861  0.585  0.097
N  0.585  0.861  0.597
N  0.415  0.139  0.097

Output
**Electronic total energy**: -0.3228 Ha/atom
**M_tot**: 0.0000 μB per atom
**Space-group type**: Cmcm, No. 63